This record from Alexandria via LeMat-Bulk describes Re2HgP at its PBEsol-relaxed geometry. The functional is meta-GGA SCAN.

Summary:
total magnetization	0.000	μB/cell
energy relative to the lowest polymorph listed for this composition	0.3087	eV/atom
energy of formation	0.6229	eV per atom
N(E_F)	2.34	states/eV/f.u.

a = 2.8558 Å, b = 2.8558 Å, c = 8.6065 Å
α = 90.00°, β = 90.00°, γ = 117.97°
Element x y z (fractional)
P (0.5000, 0.5000, 0.0000)
Re (0.0000, 0.0000, 0.7903)
Hg (0.5000, 0.5000, 0.5000)
Re (0.0000, 0.0000, 0.2097)